Crystalline CrReCl at its relaxed geometry. Source: Alexandria via LeMat-Bulk, functional GGA-PBE. Values from VASP.

Structure (Quantum ESPRESSO input):
```
&SYSTEM
  ibrav = 0, nat = 6, ntyp = 3
/
ATOMIC_SPECIES
Cr 52.00 Cr.upf
Re 186.21 Re.upf
Cl 35.45 Cl.upf
CELL_PARAMETERS angstrom
-1.468 1.996 9.431
1.468 -1.996 9.431
1.468 1.996 -9.431
ATOMIC_POSITIONS angstrom
Cr 0.000 0.000 0.000
Cr 0.000 0.000 9.081
Re 1.468 0.000 6.523
Re 0.000 1.996 7.430
Cl 1.468 0.000 4.274
Cl 0.000 1.996 1.447
```

## Properties
space-group type	Imm2 (44)
energy relative to the elements, uncorrected	0.057	eV/atom
total moment	0.001	μB/f.u.
DFT total energy	-7.915	eV per atom
ρ	8.221	g/cm3
N(E_F)	0.691	states/eV/atom



Crystalline CrReCl at its relaxed geometry. Source: Alexandria via LeMat-Bulk, functional GGA-PBE. Values from VASP.

Structure (Quantum ESPRESSO input):
```
&SYSTEM
  ibrav = 0, nat = 6, ntyp = 3
/
ATOMIC_SPECIES
Cr 52.00 Cr.upf
Re 186.21 Re.upf
Cl 35.45 Cl.upf
CELL_PARAMETERS angstrom
2.976 0.000 0.000
0.000 3.063 0.000
0.038 0.035 11.555
ATOMIC_POSITIONS angstrom
Cr 0.000 0.000 0.000
Cr 1.488 1.531 1.343
Re 1.488 1.531 4.463
Re 2.976 3.062 2.920
Cl 1.526 0.033 9.786
Cl 2.976 1.531 6.380
```

## Properties
space-group type	P1 (1)
energy relative to the elements, uncorrected	-0.079	eV/atom
total moment	0.096	μB/f.u.
DFT total energy	-8.051	eV per atom
ρ	8.629	g/cm3
N(E_F)	0.686	states/eV/atom



Crystalline CrReCl2 at its relaxed geometry. Source: Alexandria via LeMat-Bulk, functional GGA-PBE. Values from VASP.

Structure (Quantum ESPRESSO input):
```
&SYSTEM
  ibrav = 0, nat = 4, ntyp = 3
/
ATOMIC_SPECIES
Cr 52.00 Cr.upf
Re 186.21 Re.upf
Cl 35.45 Cl.upf
CELL_PARAMETERS angstrom
1.470 -2.775 0.000
1.470 2.775 0.000
0.000 0.000 8.472
ATOMIC_POSITIONS angstrom
Cr 0.000 0.000 0.000
Re 0.000 0.000 4.236
Cl 1.470 0.000 2.270
Cl 1.470 0.000 6.202
```

## Properties
space-group type	Cmmm (65)
energy relative to the elements, uncorrected	0.739	eV/atom
total moment	4.595	μB/f.u.
DFT total energy	-5.703	eV per atom
ρ	7.424	g/cm3
N(E_F)	0.858	states/eV/atom



Crystalline CrRe2Cl2 at its relaxed geometry. Source: Alexandria via LeMat-Bulk, functional GGA-PBE. Values from VASP.

Structure (Quantum ESPRESSO input):
```
&SYSTEM
  ibrav = 0, nat = 5, ntyp = 3
/
ATOMIC_SPECIES
Cr 52.00 Cr.upf
Re 186.21 Re.upf
Cl 35.45 Cl.upf
CELL_PARAMETERS angstrom
-2.064 2.064 5.050
2.064 -2.064 5.050
2.064 2.064 -5.050
ATOMIC_POSITIONS angstrom
Cr 0.000 0.000 0.000
Re 2.064 0.000 2.525
Re 0.000 2.064 2.525
Cl 0.000 0.000 3.714
Cl 0.000 0.000 6.386
```

## Properties
space-group type	I4/mmm (139)
energy relative to the elements, uncorrected	1.376	eV/atom
total moment	3.996	μB/f.u.
DFT total energy	-6.267	eV per atom
ρ	9.557	g/cm3
N(E_F)	0.699	states/eV/atom



Crystalline Cr3ReCl at its relaxed geometry. Source: Alexandria via LeMat-Bulk, functional GGA-PBE. Values from VASP.

Structure (Quantum ESPRESSO input):
```
&SYSTEM
  ibrav = 0, nat = 5, ntyp = 3
/
ATOMIC_SPECIES
Cr 52.00 Cr.upf
Re 186.21 Re.upf
Cl 35.45 Cl.upf
CELL_PARAMETERS angstrom
4.802 0.000 0.000
0.000 4.802 0.000
0.000 0.000 4.802
ATOMIC_POSITIONS angstrom
Cr 0.000 0.000 2.401
Cr 0.000 2.401 0.000
Cr 2.401 0.000 0.000
Re 0.000 0.000 0.000
Cl 2.401 2.401 2.401
```

## Properties
space-group type	Pm-3m (221)
energy relative to the elements, uncorrected	1.275	eV/atom
total moment	9.954	μB/f.u.
DFT total energy	-7.358	eV per atom
ρ	5.663	g/cm3
N(E_F)	0.673	states/eV/atom



Crystalline CrReCl2 at its relaxed geometry. Source: Alexandria via LeMat-Bulk, functional GGA-PBE. Values from VASP.

Structure (Quantum ESPRESSO input):
```
&SYSTEM
  ibrav = 0, nat = 4, ntyp = 3
/
ATOMIC_SPECIES
Cr 52.00 Cr.upf
Re 186.21 Re.upf
Cl 35.45 Cl.upf
CELL_PARAMETERS angstrom
2.923 0.000 0.000
0.000 4.206 0.000
0.000 0.000 5.522
ATOMIC_POSITIONS angstrom
Cr 0.000 0.000 0.000
Re 1.462 0.000 2.761
Cl 0.000 2.103 2.761
Cl 1.462 2.103 0.000
```

## Properties
space-group type	Pmmm (47)
energy relative to the elements, uncorrected	0.706	eV/atom
total moment	2.165	μB/f.u.
DFT total energy	-5.736	eV per atom
ρ	7.560	g/cm3
N(E_F)	0.524	states/eV/atom



Crystalline CrReCl2 at its relaxed geometry. Source: Alexandria via LeMat-Bulk, functional GGA-PBE. Values from VASP.

Structure (Quantum ESPRESSO input):
```
&SYSTEM
  ibrav = 0, nat = 4, ntyp = 3
/
ATOMIC_SPECIES
Cr 52.00 Cr.upf
Re 186.21 Re.upf
Cl 35.45 Cl.upf
CELL_PARAMETERS angstrom
1.541 -2.659 0.000
1.541 2.659 0.000
0.000 0.000 9.441
ATOMIC_POSITIONS angstrom
Cr 0.000 0.000 0.000
Re 1.541 0.000 1.857
Cl 0.000 0.000 3.880
Cl 1.541 0.000 7.617
```

## Properties
space-group type	Cmm2 (35)
energy relative to the elements, uncorrected	0.223	eV/atom
total moment	1.692	μB/f.u.
DFT total energy	-6.218	eV per atom
ρ	6.636	g/cm3
N(E_F)	1.120	states/eV/atom



Crystalline CrReCl3 at its relaxed geometry. Source: Alexandria via LeMat-Bulk, functional GGA-PBE. Values from VASP.

Structure (Quantum ESPRESSO input):
```
&SYSTEM
  ibrav = 0, nat = 5, ntyp = 3
/
ATOMIC_SPECIES
Cr 52.00 Cr.upf
Re 186.21 Re.upf
Cl 35.45 Cl.upf
CELL_PARAMETERS angstrom
4.754 0.000 0.000
0.000 4.754 0.000
0.000 0.000 4.754
ATOMIC_POSITIONS angstrom
Cr 0.000 0.000 0.000
Re 2.377 2.377 2.377
Cl 0.000 0.000 2.377
Cl 0.000 2.377 0.000
Cl 2.377 0.000 0.000
```

## Properties
space-group type	Pm-3m (221)
energy relative to the elements, uncorrected	0.936	eV/atom
total moment	5.947	μB/f.u.
DFT total energy	-4.587	eV per atom
ρ	5.324	g/cm3
N(E_F)	2.851	states/eV/atom